(1)
An optimized crystal structure of BaHfGa. Source: Alexandria, functional PBE.

Results
Space group ... No. 2
Energy relative to the elements ... -0.08 eV/atom

The structure in CIF format:
```
data_BaHfGa
_chemical_formula_sum 'Ba2 Hf2 Ga2'
_cell_length_a 4.388
_cell_length_b 4.890
_cell_length_c 11.414
_cell_angle_alpha 78.22
_cell_angle_beta 80.12
_cell_angle_gamma 63.44
_symmetry_space_group_name_H-M 'P 1'
_symmetry_Int_Tables_number 1
loop_
_symmetry_equiv_pos_as_xyz
'x,y,z'
loop_
_atom_site_label
_atom_site_type_symbol
_atom_site_fract_x
_atom_site_fract_y
_atom_site_fract_z
_atom_site_occupancy
Ba1 Ba 0.277 0.216 0.196 1
Ba2 Ba 0.723 0.784 0.804 1
Ga1 Ga 0.564 0.476 0.383 1
Ga2 Ga 0.436 0.524 0.617 1
Hf1 Hf 0.866 0.819 0.442 1
Hf2 Hf 0.134 0.181 0.558 1
```



(2)
An optimized crystal structure of Pm6Pr3DyEr2. Source: Alexandria, functional PBE.

Results
Space group ... No. 12
Energy relative to the elements ... 0.02 eV/atom

The structure in CIF format:
```
data_Pm6Pr3DyEr2
_chemical_formula_sum 'Pm6 Pr3 Dy1 Er2'
_cell_length_a 6.303
_cell_length_b 6.303
_cell_length_c 12.025
_cell_angle_alpha 95.02
_cell_angle_beta 95.02
_cell_angle_gamma 120.02
_symmetry_space_group_name_H-M 'P 1'
_symmetry_Int_Tables_number 1
loop_
_symmetry_equiv_pos_as_xyz
'x,y,z'
loop_
_atom_site_label
_atom_site_type_symbol
_atom_site_fract_x
_atom_site_fract_y
_atom_site_fract_z
_atom_site_occupancy
Pm1 Pm 0.584 0.918 0.756 1
Pm2 Pm 0.082 0.416 0.244 1
Pm3 Pm 0.252 0.252 0.756 1
Pm4 Pm 0.748 0.748 0.244 1
Pm5 Pm 0.918 0.584 0.756 1
Pm6 Pm 0.416 0.082 0.244 1
Pr1 Pr 0.167 0.833 0.500 1
Pr2 Pr 0.500 0.500 0.500 1
Pr3 Pr 0.833 0.167 0.500 1
Dy1 Dy 0.000 0.000 0.000 1
Er1 Er 0.667 0.333 0.000 1
Er2 Er 0.333 0.667 0.000 1
```



(3)
An optimized crystal structure of Be2Au. Source: Alexandria, functional PBE.

Results
Space group ... No. 194
Energy relative to the elements ... -0.08 eV/atom

The structure in CIF format:
```
data_Be2Au
_chemical_formula_sum 'Be8 Au4'
_cell_length_a 4.609
_cell_length_b 4.609
_cell_length_c 7.280
_cell_angle_alpha 90.00
_cell_angle_beta 90.00
_cell_angle_gamma 120.00
_symmetry_space_group_name_H-M 'P 1'
_symmetry_Int_Tables_number 1
loop_
_symmetry_equiv_pos_as_xyz
'x,y,z'
loop_
_atom_site_label
_atom_site_type_symbol
_atom_site_fract_x
_atom_site_fract_y
_atom_site_fract_z
_atom_site_occupancy
Be1 Be 0.163 0.837 0.750 1
Be2 Be 0.326 0.163 0.250 1
Be3 Be 0.837 0.163 0.250 1
Be4 Be 0.163 0.326 0.750 1
Be5 Be 0.674 0.837 0.750 1
Be6 Be 0.000 0.000 0.000 1
Be7 Be 0.837 0.674 0.250 1
Be8 Be 0.000 0.000 0.500 1
Au1 Au 0.667 0.333 0.556 1
Au2 Au 0.667 0.333 0.944 1
Au3 Au 0.333 0.667 0.056 1
Au4 Au 0.333 0.667 0.444 1
```



(4)
An optimized crystal structure of BC2. Source: Alexandria, functional PBE.

Results
Space group ... No. 12
Energy relative to the elements ... 0.33 eV/atom

The structure in CIF format:
```
data_BC2
_chemical_formula_sum 'B4 C8'
_cell_length_a 4.549
_cell_length_b 4.549
_cell_length_c 7.630
_cell_angle_alpha 114.33
_cell_angle_beta 114.33
_cell_angle_gamma 32.59
_symmetry_space_group_name_H-M 'P 1'
_symmetry_Int_Tables_number 1
loop_
_symmetry_equiv_pos_as_xyz
'x,y,z'
loop_
_atom_site_label
_atom_site_type_symbol
_atom_site_fract_x
_atom_site_fract_y
_atom_site_fract_z
_atom_site_occupancy
C1 C 0.668 0.668 0.816 1
C2 C 0.172 0.172 0.706 1
C3 C 0.995 0.995 0.503 1
C4 C 0.498 0.498 0.393 1
C5 C 0.011 0.011 0.009 1
C6 C 0.156 0.156 0.199 1
C7 C 0.840 0.840 0.553 1
C8 C 0.327 0.327 0.656 1
B1 B 0.660 0.660 0.338 1
B2 B 0.506 0.506 0.871 1
B3 B 0.831 0.831 0.015 1
B4 B 0.335 0.335 0.193 1
```



(5)
An optimized crystal structure of BeGe2WCl. Source: Alexandria, functional PBE.

Results
Space group ... No. 123
Uncorrected formation energy ... 1.354 eV/atom

The structure in CIF format:
```
data_BeGe2WCl
_chemical_formula_sum 'Be1 Ge2 W1 Cl1'
_cell_length_a 4.866
_cell_length_b 3.626
_cell_length_c 4.866
_cell_angle_alpha 90.00
_cell_angle_beta 90.00
_cell_angle_gamma 90.00
_symmetry_space_group_name_H-M 'P 1'
_symmetry_Int_Tables_number 1
loop_
_symmetry_equiv_pos_as_xyz
'x,y,z'
loop_
_atom_site_label
_atom_site_type_symbol
_atom_site_fract_x
_atom_site_fract_y
_atom_site_fract_z
_atom_site_occupancy
Ge1 Ge 0.000 0.000 0.500 1
Ge2 Ge 0.500 0.000 0.000 1
Be1 Be 0.000 0.500 0.000 1
W1 W 0.500 0.500 0.500 1
Cl1 Cl 0.000 0.000 0.000 1
```



(6)
An optimized crystal structure of CsRbAsPt. Source: Alexandria, functional PBE.

Results
Space group ... No. 44
Energy relative to the elements ... -0.38 eV/atom

The structure in CIF format:
```
data_CsRbAsPt
_chemical_formula_sum 'Cs1 Rb1 As1 Pt1'
_cell_length_a 4.533
_cell_length_b 6.059
_cell_length_c 6.788
_cell_angle_alpha 116.51
_cell_angle_beta 109.50
_cell_angle_gamma 90.00
_symmetry_space_group_name_H-M 'P 1'
_symmetry_Int_Tables_number 1
loop_
_symmetry_equiv_pos_as_xyz
'x,y,z'
loop_
_atom_site_label
_atom_site_type_symbol
_atom_site_fract_x
_atom_site_fract_y
_atom_site_fract_z
_atom_site_occupancy
Cs1 Cs 0.517 0.517 0.033 1
Pt1 Pt 0.731 0.231 0.462 1
As1 As 0.167 0.167 0.334 1
Rb1 Rb 0.855 0.855 0.710 1
```



Number 1: DOS(E_F) 7.559 states/eV per cell. Number 2: DOS(E_F) 16.835 states/eV per cell. Number 3: DOS(E_F) 1.952 states/eV per cell. Number 4: DOS(E_F) 3.010 states/eV per cell. Number 5: DOS(E_F) 4.932 states/eV per cell. Number 6: DOS(E_F) 0.169 states/eV per cell.